The following is a DFT calculation (SCAN) of a PBEsol-optimized structure of NaAl2Pt2.

Lattice parameters (Å, degrees): 7.568 7.568 2.755 90.00 90.00 90.00
Space group P4/mbm (No. 127)
One atom of each set of equivalent atoms:
Na: 0.000 0.000 0.000 x2
Al: 0.136 0.364 0.000 x4
Pt: 0.158 0.658 0.500 x4

Results
The value obtained for the formation energy is -1070 meV/atom. As for the raw total energy: -33.09 eV/atom.

The following is a DFT calculation (SCAN) of a PBEsol-optimized structure of Ba5La3Ga4O16.

Lattice parameters (Å, degrees): 5.915 7.338 10.055 89.76 89.56 89.44
Space group P1 (No. 1)
One atom of each set of equivalent atoms:
Ba: 0.000 0.000 0.000 x1
Ba: 0.008 0.160 0.380 x1
Ba: 0.479 0.829 0.490 x1
Ba: 0.500 0.338 0.154 x1
Ba: 0.979 0.501 0.653 x1
La: 0.471 0.667 0.870 x1
La: 0.508 0.168 0.778 x1
La: 0.977 0.659 0.273 x1
Ga: 0.001 0.454 0.987 x1
Ga: 0.479 0.393 0.494 x1
Ga: 0.505 0.873 0.153 x1
Ga: 0.977 0.945 0.667 x1
O: 0.141 0.669 0.034 x1
O: 0.237 0.364 0.879 x1
O: 0.242 0.908 0.760 x1
O: 0.249 0.903 0.253 x1
O: 0.254 0.487 0.384 x1
O: 0.383 0.165 0.543 x1
O: 0.484 0.523 0.653 x1
O: 0.490 0.024 0.003 x1
O: 0.642 0.658 0.096 x1
O: 0.733 0.456 0.398 x1
O: 0.738 0.943 0.263 x1
O: 0.742 0.405 0.891 x1
O: 0.750 0.855 0.779 x1
O: 0.854 0.173 0.637 x1
O: 0.985 0.327 0.145 x1
O: 0.986 0.815 0.509 x1

Results
The value obtained for the uncorrected formation energy is -2832 meV/atom. As for the raw total energy: -20.41 eV/atom.

The following is a DFT calculation (SCAN) of a PBEsol-optimized structure of BeMo2Br.

Lattice parameters (Å, degrees): 3.727 3.727 4.310 90.00 90.00 90.00
Space group P4/mmm (No. 123)
One atom of each set of equivalent atoms:
Be: 0.000 0.000 0.000 x1
Mo: 0.000 0.500 0.500 x2
Br: 0.500 0.500 0.000 x1

Results
The value obtained for the uncorrected formation energy is 1166 meV/atom. As for the raw total energy: -22.23 eV/atom.

The following is a DFT calculation (SCAN) of a PBEsol-optimized structure of SrCoP2.

Lattice parameters (Å, degrees): 3.181 3.181 6.409 90.00 90.00 90.00
Space group P4/mmm (No. 123)
One atom of each set of equivalent atoms:
Sr: 0.000 0.000 0.000 x1
Co: 0.000 0.000 0.500 x1
P: 0.500 0.500 0.331 x2

Results
The value obtained for the formation energy is -181 meV/atom. As for the raw total energy: -15.28 eV/atom.

The following is a DFT calculation (SCAN) of a PBEsol-optimized structure of YPtS3.

Lattice parameters (Å, degrees): 4.643 4.643 4.643 90.00 90.00 90.00
Space group Pm-3m (No. 221)
One atom of each set of equivalent atoms:
Y: 0.000 0.000 0.000 x1
Pt: 0.500 0.500 0.500 x1
S: 0.000 0.500 0.500 x3

Results
The value obtained for the uncorrected formation energy is -739 meV/atom. As for the raw total energy: -26.12 eV/atom.

The following is a DFT calculation (SCAN) of a PBEsol-optimized structure of Hg2MoIr.

Lattice parameters (Å, degrees): 2.822 4.844 10.548 90.00 90.00 90.00
Space group Imm2 (No. 44)
One atom of each set of equivalent atoms:
Hg: 0.000 0.000 0.000 x2
Hg: 0.000 0.500 0.207 x2
Mo: 0.000 0.000 0.450 x2
Ir: 0.000 0.500 0.753 x2

Results
The value obtained for the formation energy is 493 meV/atom. As for the raw total energy: -60.09 eV/atom.

The following is a DFT calculation (SCAN) of a PBEsol-optimized structure of SrTaPb2.

Lattice parameters (Å, degrees): 4.972 4.972 8.221 90.00 90.00 90.00
Space group I4/mmm (No. 139)
One atom of each set of equivalent atoms:
Sr: 0.000 0.000 0.000 x2
Ta: 0.000 0.000 0.500 x2
Pb: 0.000 0.500 0.250 x4

Results
The value obtained for the formation energy is 259 meV/atom. As for the raw total energy: -59.85 eV/atom.

The following is a DFT calculation (SCAN) of a PBEsol-optimized structure of ReHgPdRu2.

Lattice parameters (Å, degrees): 4.765 4.765 4.699 90.00 90.00 90.00
Space group P4/mmm (No. 123)
One atom of each set of equivalent atoms:
Re: 0.000 0.000 0.000 x1
Hg: 0.500 0.500 0.500 x1
Pd: 0.500 0.500 0.000 x1
Ru: 0.000 0.500 0.500 x2

Results
The value obtained for the formation energy is 2771 meV/atom. As for the raw total energy: -45.57 eV/atom.

The following is a DFT calculation (SCAN) of a PBEsol-optimized structure of PuF3.

Lattice parameters (Å, degrees): 4.0596 4.0596 7.1054 90.00 90.00 120.00
Space group P6_3/mmc (No. 194)
One atom of each set of equivalent atoms:
Pu: 0.3333 0.6667 0.2500 x2
F: 0.0000 0.0000 0.2500 x2
F: 0.3333 0.6667 0.5788 x4

Results
The value obtained for the uncorrected formation energy is -3783 meV/atom. As for the raw total energy: -33.97 eV/atom.

The following is a DFT calculation (SCAN) of a PBEsol-optimized structure of Hg2PtSe.

Lattice parameters (Å, degrees): 4.157 4.157 8.672 90.00 90.00 90.00
Space group I4/mmm (No. 139)
One atom of each set of equivalent atoms:
Hg: 0.000 0.500 0.250 x4
Pt: 0.000 0.000 0.000 x2
Se: 0.000 0.000 0.500 x2

Results
The value obtained for the uncorrected formation energy is 374 meV/atom. As for the raw total energy: -56.28 eV/atom.

The following is a DFT calculation (SCAN) of a PBEsol-optimized structure of CoTcIr2.

Lattice parameters (Å, degrees): 2.671 3.712 5.293 90.00 90.00 90.00
Space group Pmmm (No. 47)
One atom of each set of equivalent atoms:
Co: 0.000 0.000 0.000 x1
Tc: 0.000 0.000 0.500 x1
Ir: 0.500 0.500 0.244 x2

Results
The value obtained for the formation energy is -128 meV/atom. As for the raw total energy: -48.77 eV/atom.

The following is a DFT calculation (SCAN) of a PBEsol-optimized structure of RbYZr2Ni.

Lattice parameters (Å, degrees): 5.162 5.162 5.570 90.00 90.00 90.00
Space group P4/mmm (No. 123)
One atom of each set of equivalent atoms:
Rb: 0.000 0.000 0.000 x1
Y: 0.000 0.000 0.500 x1
Zr: 0.000 0.500 0.500 x2
Ni: 0.500 0.500 0.000 x1

Results
The value obtained for the formation energy is 1958 meV/atom. As for the raw total energy: -23.27 eV/atom.

What is the raw total energy in the fourth record?
-15.28 eV/atom